1.
Computed, not measured: a geometry-optimized PuInSn2 structure at the PBE-GGA level of DFT.

Properties
**E**: -6.426 eV per atom
**ΔE to the lowest computed polymorph**: 0.177 eV/atom
**Density**: 9438 kg/m3
**ΔH_f (0 K)**: -157 meV/atom

a b c (Å): 3.9260 3.9260 6.8059
angles (deg): 90.00 90.00 90.00
With the nearest neighbours (Å) after each atom.
Fractional coordinates of all 4 atoms:
In  0.5000  0.5000  0.0000  8 Sn 3.19, 2 Pu 3.40
Sn  0.0000  0.0000  0.7686  1 Sn 3.15, 4 In 3.19, 4 Pu 3.32
Sn  0.0000  0.0000  0.2314  1 Sn 3.15, 4 In 3.19, 4 Pu 3.32
Pu  0.5000  0.5000  0.5000  8 Sn 3.32, 2 In 3.40



2.
Computed, not measured: a geometry-optimized PuIn4Sn structure at the PBE-GGA level of DFT.

Properties
**E**: -4.781 eV per atom
**ΔE to the lowest computed polymorph**: 0.232 eV/atom
**Density**: 7484 kg/m3
**ΔH_f (0 K)**: 100 meV/atom

a b c (Å): 4.3903 4.3959 9.4501
angles (deg): 90.01 90.00 90.00
With the nearest neighbours (Å) after each atom.
Fractional coordinates of all 6 atoms:
Pu  0.5012  0.4975  0.9982  8 In 3.31
In  0.5012  0.9973  0.2599  4 In 3.11, 2 Sn 3.15, 2 Pu 3.31
In  0.5014  0.9972  0.7363  4 In 3.11, 2 Sn 3.14, 2 Pu 3.31
In  0.0014  0.4972  0.7359  4 In 3.11, 2 Sn 3.14, 2 Pu 3.31
In  0.0012  0.4972  0.2603  4 In 3.11, 2 Sn 3.14-3.15, 2 Pu 3.31
Sn  0.0013  0.9974  0.4983  8 In 3.14-3.15



3.
Computed, not measured: a geometry-optimized PuIn3Sn2 structure at the PBE-GGA level of DFT.

Properties
**E**: -5.175 eV per atom
**Density**: 8740 kg/m3
**ΔH_f (0 K)**: -83 meV/atom

a b c (Å): 4.3573 4.8819 7.7696
angles (deg): 108.31 90.00 90.00
With the nearest neighbours (Å) after each atom.
Fractional coordinates of all 6 atoms:
Pu  0.0000  0.0000  0.0000  8 In 3.27-3.36, 4 Sn 3.36
In  0.5000  0.1733  0.3466  6 Sn 3.28-3.32, 4 In 3.33-3.53, 2 Pu 3.36
In  0.5000  0.5000  0.0000  4 Sn 3.18, 4 Pu 3.27, 4 In 3.53
In  0.5000  0.8267  0.6534  6 Sn 3.28-3.32, 4 In 3.33-3.53, 2 Pu 3.36
Sn  0.0000  0.6566  0.3132  8 In 3.18-3.32, 2 Pu 3.36
Sn  0.0000  0.3434  0.6868  8 In 3.18-3.32, 2 Pu 3.36



4.
Computed, not measured: a geometry-optimized PuInSn4 structure at the PBE-GGA level of DFT.

Properties
**E**: -5.560 eV per atom
**Density**: 8322 kg/m3
**ΔH_f (0 K)**: -46 meV/atom

a b c (Å): 6.1732 6.1732 6.1732
angles (deg): 60.00 60.00 60.00
With the nearest neighbours (Å) after each atom.
Fractional coordinates of all 6 atoms:
In  0.2500  0.2500  0.2500  12 Sn 3.62, 4 Pu 3.78
Sn  0.6250  0.6250  0.1249  6 Sn 3.09
Sn  0.6250  0.1249  0.6250  6 Sn 3.09
Sn  0.6250  0.6250  0.6250  6 Sn 3.09
Sn  0.1249  0.6250  0.6250  6 Sn 3.09
Pu  0.0000  0.0000  0.0000  12 Sn 3.62, 4 In 3.78



5.
Computed, not measured: a geometry-optimized PuIn2Sn structure at the PBE-GGA level of DFT.

Properties
**E**: -6.250 eV per atom
**ΔE to the lowest computed polymorph**: 0.000 eV/atom
**Density**: 9754 kg/m3
**ΔH_f (0 K)**: -297 meV/atom

a b c (Å): 4.7895 4.5885 4.5885
angles (deg): 90.00 90.00 90.00
With the nearest neighbours (Å) after each atom.
Fractional coordinates of all 4 atoms:
In  0.0000  0.0000  0.5000  4 In 3.24, 4 Sn 3.32, 4 Pu 3.32
In  0.0000  0.5000  0.0000  4 In 3.24, 4 Sn 3.32, 4 Pu 3.32
Sn  0.5000  0.5000  0.5000  4 Pu 3.24, 8 In 3.32
Pu  0.5000  0.0000  0.0000  4 Sn 3.24, 8 In 3.32



6.
Computed, not measured: a geometry-optimized PuIn2Sn structure at the PBE-GGA level of DFT.

Properties
**E**: -5.988 eV per atom
**ΔE to the lowest computed polymorph**: 0.261 eV/atom
**Density**: 9145 kg/m3
**ΔH_f (0 K)**: -35 meV/atom

a b c (Å): 5.3380 5.3380 5.3380
angles (deg): 60.00 60.00 60.00
With the nearest neighbours (Å) after each atom.
Fractional coordinates of all 4 atoms:
In  0.2500  0.2500  0.2500  4 Sn 3.27, 4 Pu 3.27
In  0.7500  0.7500  0.7500  4 Sn 3.27, 4 Pu 3.27
Sn  0.5000  0.5000  0.5000  8 In 3.27
Pu  0.0000  0.0000  0.0000  8 In 3.27



7.
Computed, not measured: a geometry-optimized Pu2In3Sn3 structure at the PBE-GGA level of DFT.

Properties
**E**: -6.426 eV per atom
**Density**: 9793 kg/m3
**ΔH_f (0 K)**: -315 meV/atom

a b c (Å): 4.7749 4.6276 9.1213
angles (deg): 90.00 90.00 90.00
With the nearest neighbours (Å) after each atom.
Fractional coordinates of all 8 atoms:
Pu  0.0000  0.0000  0.7457  6 Sn 3.22-3.28, 6 In 3.33
Pu  0.0000  0.0000  0.2543  6 Sn 3.22-3.28, 6 In 3.33
In  0.5000  0.5000  0.7523  2 In 3.23, 6 Sn 3.26-3.32, 4 Pu 3.33
In  0.5000  0.5000  0.2477  2 In 3.23, 6 Sn 3.26-3.32, 4 Pu 3.33
In  0.5000  0.0000  0.0000  4 In 3.23, 4 Sn 3.32, 4 Pu 3.33
Sn  0.5000  0.0000  0.5000  4 In 3.26, 4 Pu 3.27, 4 Sn 3.32
Sn  0.0000  0.5000  0.0000  4 Pu 3.28, 8 In 3.29-3.32
Sn  0.0000  0.5000  0.5000  4 Pu 3.22, 4 In 3.32, 4 Sn 3.32



8.
Computed, not measured: a geometry-optimized PuInSn2 structure at the PBE-GGA level of DFT.

Properties
**E**: -6.280 eV per atom
**ΔE to the lowest computed polymorph**: 0.322 eV/atom
**Density**: 8306 kg/m3
**ΔH_f (0 K)**: -11 meV/atom

a b c (Å): 4.5856 4.5856 7.0607
angles (deg): 71.05 71.05 60.00
With the nearest neighbours (Å) after each atom.
Fractional coordinates of all 4 atoms:
Pu  0.6696  0.6696  0.9913  6 Sn 3.12-3.17, 1 In 3.42
In  0.4955  0.4955  0.5136  6 Sn 3.03-3.13
Sn  0.0874  0.0874  0.7378  3 In 3.03, 3 Pu 3.12, 1 Sn 3.14
Sn  0.2476  0.2476  0.2573  3 In 3.13, 1 Sn 3.14, 3 Pu 3.17



9.
Computed, not measured: a geometry-optimized Pu4In15Sn structure at the PBE-GGA level of DFT.

Properties
**E**: -5.279 eV per atom
**Density**: 9124 kg/m3
**ΔH_f (0 K)**: -158 meV/atom

a b c (Å): 4.6667 4.6667 23.5414
angles (deg): 90.00 90.00 90.00
With the nearest neighbours (Å) after each atom.
Fractional coordinates of all 20 atoms:
Pu  0.0000  0.0000  0.2023  12 In 3.30-3.32
Pu  0.0000  0.0000  0.4011  12 In 3.29-3.30
Pu  0.0000  0.0000  0.5989  12 In 3.29-3.30
Pu  0.0000  0.0000  0.7977  12 In 3.30-3.32
In  0.5000  0.5000  0.0000  4 Sn 3.30, 8 In 3.37
In  0.5000  0.5000  0.2055  8 In 3.26-3.35, 4 Pu 3.30
In  0.5000  0.5000  0.4014  8 In 3.29-3.30, 4 Pu 3.30
In  0.5000  0.5000  0.5986  8 In 3.29-3.30, 4 Pu 3.30
In  0.5000  0.5000  0.7945  8 In 3.26-3.35, 4 Pu 3.30
In  0.5000  0.0000  0.1032  8 In 3.30-3.37, 2 Pu 3.30, 2 Sn 3.37
In  0.5000  0.0000  0.3025  8 In 3.26-3.30, 4 Pu 3.29-3.32
In  0.5000  0.0000  0.5000  8 In 3.29-3.30, 4 Pu 3.30
In  0.5000  0.0000  0.6975  8 In 3.26-3.30, 4 Pu 3.29-3.32
In  0.5000  0.0000  0.8968  8 In 3.30-3.37, 2 Pu 3.30, 2 Sn 3.37
In  0.0000  0.5000  0.1032  8 In 3.30-3.37, 2 Pu 3.30, 2 Sn 3.37
In  0.0000  0.5000  0.3025  8 In 3.26-3.30, 4 Pu 3.29-3.32
In  0.0000  0.5000  0.5000  8 In 3.29-3.30, 4 Pu 3.30
In  0.0000  0.5000  0.6975  8 In 3.26-3.30, 4 Pu 3.29-3.32
In  0.0000  0.5000  0.8968  8 In 3.30-3.37, 2 Pu 3.30, 2 Sn 3.37
Sn  0.0000  0.0000  0.0000  12 In 3.30-3.37



10.
Computed, not measured: a geometry-optimized Pu2InSn2 structure at the PBE-GGA level of DFT.

Properties
**E**: -8.039 eV per atom
**Density**: 9993 kg/m3
**ΔH_f (0 K)**: -158 meV/atom

a b c (Å): 3.5138 8.9148 8.9148
angles (deg): 90.00 90.00 90.00
With the nearest neighbours (Å) after each atom.
Fractional coordinates of all 10 atoms:
Pu  0.5000  0.1317  0.6317  6 Sn 3.10-3.20, 1 Pu 3.32
Pu  0.5000  0.6317  0.8683  6 Sn 3.10-3.20, 1 Pu 3.32
Pu  0.5000  0.8683  0.3683  6 Sn 3.10-3.20, 1 Pu 3.32
Pu  0.5000  0.3683  0.1317  6 Sn 3.10-3.20, 1 Pu 3.32
In  0.0000  0.0000  0.0000  4 Sn 3.33, 2 In 3.51
In  0.0000  0.5000  0.5000  4 Sn 3.33, 2 In 3.51
Sn  0.0000  0.3341  0.8341  6 Pu 3.10-3.20, 2 In 3.33
Sn  0.0000  0.8341  0.6659  6 Pu 3.10-3.20, 2 In 3.33
Sn  0.0000  0.6659  0.1659  6 Pu 3.10-3.20, 2 In 3.33
Sn  0.0000  0.1659  0.3341  6 Pu 3.10-3.20, 2 In 3.33



11.
Computed, not measured: a geometry-optimized Pu4InSn structure at the PBE-GGA level of DFT.

Properties
**E**: -10.775 eV per atom
**Density**: 13055 kg/m3
**ΔH_f (0 K)**: -97 meV/atom

a b c (Å): 5.2001 6.1533 6.1533
angles (deg): 94.29 65.00 65.00
With the nearest neighbours (Å) after each atom.
Fractional coordinates of all 6 atoms:
Pu  0.7503  0.5831  0.9162  5 Pu 3.00-3.28
Pu  0.7503  0.9162  0.5831  5 Pu 3.00-3.28
Pu  0.2496  0.4169  0.0838  5 Pu 3.00-3.28
Pu  0.2496  0.0838  0.4169  5 Pu 3.00-3.28
In  0.0000  0.0000  0.0000  2 Sn 3.28, 12 Pu 3.42
Sn  0.5000  0.5000  0.5000  2 In 3.28, 12 Pu 3.42-3.43



12.
Computed, not measured: a geometry-optimized SrPuInSn structure at the PBE-GGA level of DFT.

Properties
**E**: -5.968 eV per atom
**Density**: 7758 kg/m3
**ΔH_f (0 K)**: -280 meV/atom

a b c (Å): 5.5514 5.5514 5.5514
angles (deg): 60.00 60.00 60.00
With the nearest neighbours (Å) after each atom.
Fractional coordinates of all 4 atoms:
Sr  0.5000  0.5000  0.5000  4 In 3.40, 4 Sn 3.40
In  0.7500  0.7500  0.7500  4 Pu 3.40, 4 Sr 3.40
Sn  0.2500  0.2500  0.2500  4 Sr 3.40, 4 Pu 3.40
Pu  0.0000  0.0000  0.0000  4 Sn 3.40, 4 In 3.40